Computed, not measured: NaMn2F6 after structural relaxation at the PBE+U level of DFT.

The value obtained for the magnetic moment is 7.000 μB/f.u. The distance to the lowest polymorph of the same formula is 131 meV/atom. The value obtained for the electronic total energy is -49.52 eV/f.u. As for the space group: P1 (1).

a b c (Å): 5.5498 5.5658 5.8687
angles (deg): 61.88 61.73 59.94
With the nearest neighbours (Å) after each atom.
Sites, in units of the cell vectors:
1 F 0.8479 0.5199 0.3715  2 Mn 1.94-2.13
2 F 0.5185 0.2566 0.3739  2 Mn 1.96-2.12
3 F 0.2590 0.8501 0.3745  2 Mn 1.95-2.12
4 F 0.1124 0.4103 0.8326  1 Mn 1.91
5 F 0.4095 0.6447 0.8357  1 Mn 1.93
6 F 0.6459 0.1130 0.8322  1 Mn 1.92
7 Mn 0.4713 0.4717 0.5855  6 F 1.91-1.96
8 Mn 0.2766 0.2757 0.1697  6 F 2.12-2.23
9 Na 0.7933 0.7923 0.6215  6 F 2.24-2.40